A plane-wave DFT calculation with PBE was carried out for a relaxed structure of Ac2PaAs.

Results
The space group is P4/mmm. For the formation enthalpy at 0 K, the calculation gives -0.041 eV/atom.

Cell and atoms, written as POSCAR:
```
Ac2PaAs
1.0
-4.452 -0.156 0.577
0.289 -5.124 0.844
0.628 0.874 5.088
As Pa Ac
1 1 2
direct
0.500 0.000 0.000
0.500 0.500 0.500
0.000 0.000 0.500
0.000 0.500 0.000
```

---

A plane-wave DFT calculation with PBE was carried out for a relaxed structure of HfReCl3.

Results
The value obtained for the raw formation energy is 0.894 eV/atom. For the energy above the most stable polymorph in this dataset, the calculation gives 0.5104 eV per atom. The space group is Pm-3m.

Cell and atoms, written as POSCAR:
```
HfReCl3
1.0
-2.159 3.710 2.031
-4.132 -1.366 -1.898
-0.899 -2.630 3.849
Cl Re Hf
3 1 1
direct
0.500 0.000 0.000
0.000 0.500 0.000
0.000 0.000 0.500
0.000 0.000 0.000
0.500 0.500 0.500
```

---

A plane-wave DFT calculation with PBE was carried out for a relaxed structure of NaMg3Ga.

Results
For the energy above the most stable polymorph in this dataset, the calculation gives 0.0000 eV per atom. The space group is Pm-3m. For the formation enthalpy at 0 K, the calculation gives 0.122 eV/atom.

Cell and atoms, written as POSCAR:
```
NaMg3Ga
1.0
-2.804 1.753 -3.999
-2.571 -4.505 -0.172
-3.530 1.888 3.302
Na Mg Ga
1 3 1
direct
0.500 0.500 0.500
0.500 0.000 0.000
0.000 0.000 0.500
0.000 0.500 0.000
0.000 0.000 0.000
```

---

| no. | total DFT energy (no corrections) (eV per atom) | density of states at the Fermi level (states/eV per atom) | volume (A^3/atom) |
| --- | --- | --- | --- |
| 1 | -5.63 | 1.909 | 30.37 |
| 2 | -4.69 | 1.563 | 21.41 |
| 3 | -1.70 | 0.421 | 27.95 |